# 1
BiP2S: optimized geometry, PBE.

Structure (extended XYZ):
```
4
Lattice="0.0000 3.3823 3.3823 3.3823 0.0000 3.3823 3.3823 3.3823 0.0000" Properties=species:S:1:pos:R:3 pbc="T T T"
Bi 0.0000 0.0000 0.0000
P 1.6911 1.6911 1.6911
P 5.0734 5.0734 5.0734
S 3.3823 3.3823 3.3823
```

Properties
- polymorph energy (0 for the lowest one) (kJ/mol of atoms) = 26.0
- calculated density (g/cm³) = 6.50
- space group = Fm-3m
- total moment (μB per atom) = 0.000
- formation energy (no corrections) (eV per atom) = 0.73
- total DFT energy (no corrections) (eV/atom) = -3.9773



# 2
ErMg2Zr: optimized geometry, PBE.

Structure (extended XYZ):
```
4
Lattice="0.0000 3.6345 3.6345 3.6345 0.0000 3.6345 3.6345 3.6345 0.0000" Properties=species:S:1:pos:R:3 pbc="T T T"
Er 0.0000 0.0000 0.0000
Mg 1.8172 1.8172 1.8172
Mg 5.4517 5.4517 5.4517
Zr 3.6345 3.6345 3.6345
```

Properties
- polymorph energy (0 for the lowest one) (kJ/mol of atoms) = 3.5
- calculated density (g/cm³) = 5.31
- ΔE_f (kJ per mole of atoms) = 4
- space group = Fm-3m
- total moment (μB per atom) = 0.000
- total DFT energy (no corrections) (eV/atom) = -4.0319



# 3
Li2DyMg10: optimized geometry, PBE.

Structure (extended XYZ):
```
13
Lattice="5.6306 0.0000 0.0000 2.8031 7.2526 0.0000 2.7731 0.0043 7.2710" Properties=species:S:1:pos:R:3 pbc="T T T"
Li 0.0000 0.0000 0.0000
Li 2.8153 0.0000 0.0000
Dy 1.3865 0.0022 3.6355
Mg 2.7881 3.6284 3.6355
Mg 1.3944 2.4864 1.0357
Mg 4.1883 1.4980 5.2162
Mg 4.2048 4.7655 1.0365
Mg 7.0054 5.7639 5.2137
Mg 5.6034 3.6284 3.6355
Mg 4.2013 1.4930 2.0573
Mg 7.0020 2.4914 6.2345
Mg 7.0184 5.7589 2.0548
Mg 9.8123 4.7704 6.2353
```

Properties
- calculated density (g/cm³) = 2.35
- ΔE_f (kJ per mole of atoms) = -2
- space group = P-1
- total moment (μB per atom) = 0.000
- total DFT energy (no corrections) (eV/atom) = -1.8994